# 1
RbHfNb2S | PBE | relaxed

## Properties
- energy (eV per atom) = -6.218
- energy relative to the elements, uncorrected (eV/atom) = 0.820
- Fermi-level density of states (states/eV per cell) = 7.28
- magnetic moment (Bohr magnetons per cell) = 0.00

Lattice parameters (Å, degrees): 4.6755 4.6755 5.5505 90.00 90.00 90.00
Space group P4/mmm (No. 123)
Unique sites:
Rb1 0.0000 0.0000 0.0000 x1
Hf1 0.5000 0.5000 0.0000 x1
Nb1 0.0000 0.5000 0.5000 x2
S1 0.0000 0.0000 0.5000 x1

***

# 2
MnIrPt2 | PBE | relaxed

## Properties
- energy (eV per atom) = -7.695
- Fermi-level density of states (states/eV per cell) = 10.81
- magnetic moment (Bohr magnetons per cell) = 6.35
- ΔH_f (0 K) (eV per atom) = -0.167

Lattice parameters (Å, degrees): 3.8821 3.8821 7.8466 90.00 90.00 90.00
Space group I4/mmm (No. 139)
Unique sites:
Mn1 0.0000 0.0000 0.0000 x2
Ir1 0.0000 0.0000 0.5000 x2
Pt1 0.0000 0.5000 0.2500 x4

***

# 3
AcErCo | PBE | relaxed

## Properties
- energy (eV per atom) = -5.217
- Fermi-level density of states (states/eV per cell) = 6.00
- magnetic moment (Bohr magnetons per cell) = 1.55
- ΔH_f (0 K) (eV per atom) = 0.042

Lattice parameters (Å, degrees): 3.5249 3.5249 13.1088 90.00 90.00 90.00
Space group I4mm (No. 107)
Unique sites:
Ac1 0.0000 0.0000 0.0000 x2
Er1 0.0000 0.0000 0.2559 x2
Co1 0.0000 0.0000 0.6463 x2

***

# 4
Li2CdIn | PBE | relaxed

## Properties
- energy (eV per atom) = -2.045
- Fermi-level density of states (states/eV per cell) = 3.14
- magnetic moment (Bohr magnetons per cell) = 0.00
- ΔH_f (0 K) (eV per atom) = -0.174

Lattice parameters (Å, degrees): 9.9070 3.1274 5.4556 90.00 101.94 90.00
Space group C2/m (No. 12)
Unique sites:
Li1 0.2487 0.0000 0.2531 x4
Cd1 0.0000 0.5000 0.0000 x2
In1 0.0000 0.0000 0.5000 x2

***

# 5
HfTaCoRh | PBE | relaxed

## Properties
- energy (eV per atom) = -9.435
- Fermi-level density of states (states/eV per cell) = 16.93
- magnetic moment (Bohr magnetons per cell) = 3.72
- ΔH_f (0 K) (eV per atom) = -0.369

Lattice parameters (Å, degrees): 6.3550 6.3550 6.3550 90.00 90.00 90.00
Space group F-43m (No. 216)
Unique sites:
Hf1 0.0000 0.0000 0.0000 x4
Ta1 0.0000 0.0000 0.5000 x4
Co1 0.2500 0.2500 0.7500 x4
Rh1 0.2500 0.2500 0.2500 x4

***

# 6
LaTb7Y4 | PBE | relaxed

## Properties
- energy (eV per atom) = -5.266
- Fermi-level density of states (states/eV per cell) = 16.60
- magnetic moment (Bohr magnetons per cell) = 0.00
- ΔH_f (0 K) (eV per atom) = 0.000

Lattice parameters (Å, degrees): 6.2484 7.2202 8.8962 90.00 103.55 90.05
Space group P-1 (No. 2)
Unique sites:
La1 0.0000 0.0000 0.0000 x1
Tb1 0.0000 0.5000 0.0000 x1
Tb2 0.2223 0.0001 0.6649 x2
Tb3 0.2776 0.7493 0.3353 x2
Tb4 0.4992 0.7483 0.0008 x2
Y1 0.2210 0.5001 0.6658 x2
Y2 0.2798 0.2511 0.3356 x2